1.
Entry from the Alexandria database: a relaxed TlSeCl2 crystal (PBE-GGA).

raw formation energy: -0.24 eV per atom
spin magnetization: 0.00 μB/f.u.
VASP energy: -2.627 eV/atom

a = 3.4931 Å, b = 6.3518 Å, c = 5.5777 Å
α = 90.00°, β = 90.00°, γ = 90.00°
With the nearest neighbours (Å) after each atom.
Sites, in units of the cell vectors:
Tl1 0.0000 0.0000 0.0000  2 Cl 2.77-2.81
Se1 0.5000 0.5000 0.0049  1 Cl 2.14
Cl1 0.0000 0.0000 0.4962  2 Tl 2.77-2.81
Cl2 0.5000 0.5000 0.6210  1 Se 2.14

---

2.
Entry from the Alexandria database: a relaxed YBiRu2Br crystal (PBE-GGA).

raw formation energy: 1.10 eV per atom
spin magnetization: 2.53 μB/f.u.
VASP energy: -5.018 eV/atom

a = 5.0315 Å, b = 5.0315 Å, c = 5.9914 Å
α = 90.00°, β = 90.00°, γ = 90.00°
With the nearest neighbours (Å) after each atom.
Sites, in units of the cell vectors:
Y1 0.0000 0.0000 0.0000  2 Bi 3.00
Bi1 0.0000 0.0000 0.5000  4 Ru 2.52
Ru1 0.0000 0.5000 0.5000  2 Bi 2.52
Ru2 0.5000 0.0000 0.5000  2 Bi 2.52
Br1 0.5000 0.5000 0.0000  4 Y 3.56, 8 Ru 3.91

---

3.
Entry from the Alexandria database: a relaxed BeZn2Pt crystal (PBE-GGA).

energy of formation: -0.05 eV/atom
spin magnetization: 0.00 μB/f.u.
VASP energy: -3.124 eV/atom

a = 8.3111 Å, b = 8.3111 Å, c = 8.3111 Å
α = 19.21°, β = 19.21°, γ = 19.21°
With the nearest neighbours (Å) after each atom.
Sites, in units of the cell vectors:
Be1 0.0000 0.0000 0.0000  6 Zn 2.47
Zn1 0.2567 0.2567 0.2567  3 Be 2.47, 3 Pt 2.72
Zn2 0.7433 0.7433 0.7433  3 Be 2.47, 3 Pt 2.72
Pt1 0.5000 0.5000 0.5000  6 Zn 2.72, 6 Pt 2.77

---

4.
Entry from the Alexandria database: a relaxed RbOsAu2 crystal (PBE-GGA).

energy of formation: 0.84 eV/atom
spin magnetization: 0.00 μB/f.u.
VASP energy: -3.847 eV/atom

a = 8.9106 Å, b = 8.9106 Å, c = 8.9106 Å
α = 140.00°, β = 140.00°, γ = 57.86°
With the nearest neighbours (Å) after each atom.
Sites, in units of the cell vectors:
Rb1 0.0000 0.0000 0.0000  4 Au 3.68
Rb2 0.7500 0.2500 0.5000  4 Au 3.68
Os1 0.2500 0.7500 0.5000  4 Au 2.50
Os2 0.5000 0.5000 0.0000  4 Au 2.50
Au1 0.3215 0.6250 0.1965  2 Os 2.50
Au2 0.3750 0.5715 0.6965  2 Os 2.50
Au3 0.4285 0.1250 0.8035  2 Os 2.50
Au4 0.8750 0.6785 0.3035  2 Os 2.50

---

5.
Entry from the Alexandria database: a relaxed MnAgPd14 crystal (PBE-GGA).

energy of formation: -0.05 eV/atom
spin magnetization: 6.06 μB/f.u.
VASP energy: -5.341 eV/atom

a = 5.5882 Å, b = 5.5882 Å, c = 7.9246 Å
α = 90.00°, β = 90.00°, γ = 90.00°
With the nearest neighbours (Å) after each atom.
Sites, in units of the cell vectors:
Mn1 0.0000 0.0000 0.0000  12 Pd 2.78-2.79
Ag1 0.5000 0.5000 0.0000  12 Pd 2.79-2.81
Pd1 0.0000 0.0000 0.5000  12 Pd 2.79
Pd2 0.0000 0.5000 0.0000  8 Pd 2.79, 2 Ag 2.79, 2 Mn 2.79
Pd3 0.0000 0.5000 0.5000  12 Pd 2.79-2.80
Pd4 0.2472 0.2472 0.2488  10 Pd 2.76-2.83, 1 Mn 2.78, 1 Ag 2.81
Pd5 0.2472 0.2472 0.7512  10 Pd 2.76-2.83, 1 Mn 2.78, 1 Ag 2.81
Pd6 0.2472 0.7528 0.2488  10 Pd 2.76-2.83, 1 Mn 2.78, 1 Ag 2.81
Pd7 0.2472 0.7528 0.7512  10 Pd 2.76-2.83, 1 Mn 2.78, 1 Ag 2.81
Pd8 0.5000 0.0000 0.0000  8 Pd 2.79, 2 Ag 2.79, 2 Mn 2.79
Pd9 0.5000 0.0000 0.5000  12 Pd 2.79-2.80
Pd10 0.5000 0.5000 0.5000  12 Pd 2.79-2.82
Pd11 0.7528 0.2472 0.2488  10 Pd 2.76-2.83, 1 Mn 2.78, 1 Ag 2.81
Pd12 0.7528 0.2472 0.7512  10 Pd 2.76-2.83, 1 Mn 2.78, 1 Ag 2.81
Pd13 0.7528 0.7528 0.2488  10 Pd 2.76-2.83, 1 Mn 2.78, 1 Ag 2.81
Pd14 0.7528 0.7528 0.7512  10 Pd 2.76-2.83, 1 Mn 2.78, 1 Ag 2.81

---

6.
Entry from the Alexandria database: a relaxed IrC3 crystal (PBE-GGA).

energy of formation: 1.18 eV/atom
spin magnetization: 0.00 μB/f.u.
VASP energy: -7.948 eV/atom

a = 2.5853 Å, b = 8.6081 Å, c = 3.1596 Å
α = 90.00°, β = 90.00°, γ = 90.00°
With the nearest neighbours (Å) after each atom.
Sites, in units of the cell vectors:
Ir1 0.0000 0.0000 0.0000  4 C 2.04
C1 0.0000 0.5000 0.6577  2 C 1.29
C2 0.5000 0.0000 0.5000  4 Ir 2.04
C3 0.5000 0.5000 0.6575  2 C 1.29

---

7.
Entry from the Alexandria database: a relaxed CdReNi2 crystal (PBE-GGA).

energy of formation: 0.27 eV/atom
spin magnetization: 0.53 μB/f.u.
VASP energy: -5.963 eV/atom

a = 4.5605 Å, b = 4.5605 Å, c = 2.6825 Å
α = 90.00°, β = 90.00°, γ = 90.00°
With the nearest neighbours (Å) after each atom.
Sites, in units of the cell vectors:
Cd1 0.0000 0.0000 0.0000  8 Ni 2.65, 2 Cd 2.68
Re1 0.5000 0.5000 0.0000  8 Ni 2.65, 2 Re 2.68
Ni1 0.0000 0.5000 0.5000  4 Re 2.65, 4 Cd 2.65, 2 Ni 2.68
Ni2 0.5000 0.0000 0.5000  4 Re 2.65, 4 Cd 2.65, 2 Ni 2.68

---

8.
Entry from the Alexandria database: a relaxed ZrTa2Re3 crystal (PBE-GGA).

energy of formation: -0.36 eV/atom
spin magnetization: 0.00 μB/f.u.
VASP energy: -11.962 eV/atom

a = 3.2285 Å, b = 3.2285 Å, c = 9.7487 Å
α = 90.00°, β = 90.00°, γ = 90.00°
With the nearest neighbours (Å) after each atom.
Sites, in units of the cell vectors:
Zr1 0.0000 0.0000 0.0000  8 Re 2.86
Ta1 0.0000 0.0000 0.3354  8 Re 2.76-2.79
Ta2 0.0000 0.0000 0.6646  8 Re 2.76-2.79
Re1 0.5000 0.5000 0.1766  4 Ta 2.76, 4 Zr 2.86
Re2 0.5000 0.5000 0.5000  8 Ta 2.79
Re3 0.5000 0.5000 0.8234  4 Ta 2.76, 4 Zr 2.86